[1]
The following is a PBE calculation of a geometry-optimized AcDy2WN4 structure, from the Alexandria database.

The space group is Cmcm (No. 63) and the conventional cell measures 3.4872, 12.1887 and 12.0703 Å, with angles of 90.00, 90.00 and 90.00 degrees. The inequivalent atoms are Ac at (0.0000, 0.0801, 0.2500), Dy at (0.0000, 0.3710, 0.0396), W at (0.0000, 0.1784, 0.7500), N at (0.0000, 0.0000, 0.0000), N at (0.0000, 0.2615, 0.6158) and N at (0.0000, 0.4154, 0.2500).

The value obtained for the uncorrected formation energy is -1102.4 meV/atom. Its density of states at the Fermi level is 0.304 states/eV per atom. The calculation puts the total magnetization at 0.00 μB per cell. Its calculated volume is 513 Å³/cell.

[2]
The following is a PBE calculation of a geometry-optimized LaTb7Ho4 structure, from the Alexandria database.

The space group is C2/m (No. 12) and the conventional cell measures 12.0689, 5.9067 and 12.6219 Å, with angles of 90.00, 117.86 and 90.00 degrees. The inequivalent atoms are La at (0.0000, 0.0000, 0.0000), Tb at (0.0000, 0.5000, 0.0000), Tb at (0.0568, 0.0000, 0.3353), Tb at (0.1338, 0.5000, 0.5051), Tb at (0.2097, 0.0000, 0.9213), Ho at (0.1297, 0.5000, 0.7746) and Ho at (0.2452, 0.5000, 0.3143).

The formation energy is 0.26 eV/atom. Its density of states at the Fermi level is 1.676 states/eV per atom. The calculation puts the total magnetization at 0.00 μB per cell. Its calculated volume is 795 Å³/cell.

[3]
The following is a PBE calculation of a geometry-optimized Sm2ErSc structure, from the Alexandria database.

The space group is R-3m (No. 166, hexagonal axes) and the conventional cell measures 3.5217, 3.5217 and 33.8741 Å, with angles of 90.00, 90.00 and 120.00 degrees. The inequivalent atoms are Sm at (0.0000, 0.0000, 0.2473), Er at (0.0000, 0.0000, 0.0000) and Sc at (0.0000, 0.0000, 0.5000).

The formation energy is 0.04 eV/atom. Its density of states at the Fermi level is 1.189 states/eV per atom. The calculation puts the total magnetization at 0.00 μB per cell. Its calculated volume is 364 Å³/cell.

[4]
The following is a PBE calculation of a geometry-optimized CdPt6Pb structure, from the Alexandria database.

The space group is P4/mmm (No. 123) and the conventional cell measures 4.0755, 4.0755 and 8.2097 Å, with angles of 90.00, 90.00 and 90.00 degrees. The inequivalent atoms are Cd at (0.0000, 0.0000, 0.0000), Pt at (0.0000, 0.5000, 0.2434), Pt at (0.5000, 0.5000, 0.0000), Pt at (0.5000, 0.5000, 0.5000) and Pb at (0.0000, 0.0000, 0.5000).

The formation energy is -0.15 eV/atom. Its density of states at the Fermi level is 1.035 states/eV per atom. The calculation puts the total magnetization at 0.00 μB per cell. Its calculated volume is 136 Å³/cell.

[5]
The following is a PBE calculation of a geometry-optimized TiInCu structure, from the Alexandria database.

The space group is C2/m (No. 12) and the conventional cell measures 9.8882, 3.1859 and 6.6783 Å, with angles of 90.00, 90.84 and 90.00 degrees. The inequivalent atoms are Ti at (0.1419, 0.0000, 0.4422), In at (0.0652, 0.5000, 0.7952) and Cu at (0.2136, 0.5000, 0.1473).

The formation energy is -0.02 eV/atom. Its density of states at the Fermi level is 0.628 states/eV per atom. The calculation puts the total magnetization at 0.00 μB per cell. Its calculated volume is 210 Å³/cell.

[6]
The following is a PBE calculation of a geometry-optimized BaMg3Br structure, from the Alexandria database.

The space group is Pm-3m (No. 221) and the conventional cell measures 7.1538, 7.1538 and 7.1538 Å, with angles of 90.00, 90.00 and 90.00 degrees. The inequivalent atoms are Ba at (0.0000, 0.0000, 0.0000), Mg at (0.0000, 0.0000, 0.5000) and Br at (0.5000, 0.5000, 0.5000).

The value obtained for the uncorrected formation energy is 614.9 meV/atom. Its density of states at the Fermi level is 0.848 states/eV per atom. The calculation puts the total magnetization at 0.00 μB per cell. Its calculated volume is 366 Å³/cell.

[7]
The following is a PBE calculation of a geometry-optimized Y2BeSi3Ni12 structure, from the Alexandria database.

The space group is R-3m (No. 166, hexagonal axes) and the conventional cell measures 6.1714, 6.1714 and 22.7391 Å, with angles of 90.00, 90.00 and 120.00 degrees. The inequivalent atoms are Y at (0.0000, 0.0000, 0.1554), Be at (0.0000, 0.0000, 0.5000), Si at (0.0000, 0.5000, 0.0000), Ni at (0.0604, 0.5302, 0.1006) and Ni at (0.0641, 0.5320, 0.6199).

The value obtained for the uncorrected formation energy is -148.5 meV/atom. Its density of states at the Fermi level is 0.448 states/eV per atom. The calculation puts the total magnetization at 0.00 μB per cell. Its calculated volume is 750 Å³/cell.

[8]
The following is a PBE calculation of a geometry-optimized Li3La2BeNi12 structure, from the Alexandria database.

The space group is R-3m (No. 166, hexagonal axes) and the conventional cell measures 6.0239, 6.0239 and 24.5810 Å, with angles of 90.00, 90.00 and 120.00 degrees. The inequivalent atoms are Li at (0.0000, 0.5000, 0.0000), La at (0.0000, 0.0000, 0.1579), Be at (0.0000, 0.0000, 0.5000), Ni at (0.0654, 0.5327, 0.0984) and Ni at (0.0726, 0.5363, 0.6136).

The formation energy is 0.12 eV/atom. Its density of states at the Fermi level is 1.211 states/eV per atom. The calculation puts the total magnetization at 0.00 μB per cell. Its calculated volume is 772 Å³/cell.

[9]
The following is a PBE calculation of a geometry-optimized Ba2CuMo structure, from the Alexandria database.

The space group is Pmmm (No. 47) and the conventional cell measures 3.9086, 3.9270 and 8.1639 Å, with angles of 90.00, 90.00 and 90.00 degrees. The inequivalent atoms are Ba at (0.0000, 0.0000, 0.2431), Cu at (0.5000, 0.5000, 0.0000) and Mo at (0.5000, 0.5000, 0.5000).

The formation energy is 0.83 eV/atom. Its density of states at the Fermi level is 0.744 states/eV per atom. The calculation puts the total magnetization at 2.94 μB per cell. Its calculated volume is 125 Å³/cell.

[10]
The following is a PBE calculation of a geometry-optimized Ti2CoAs2 structure, from the Alexandria database.

The space group is I4/mmm (No. 139) and the conventional cell measures 4.2485, 4.2485 and 10.2604 Å, with angles of 90.00, 90.00 and 90.00 degrees. The inequivalent atoms are Ti at (0.0000, 0.5000, 0.2500), Co at (0.0000, 0.0000, 0.0000) and As at (0.0000, 0.0000, 0.3809).

The formation energy is 0.02 eV/atom. Its density of states at the Fermi level is 1.195 states/eV per atom. The calculation puts the total magnetization at 4.47 μB per cell. Its calculated volume is 185 Å³/cell.

[11]
The following is a PBE calculation of a geometry-optimized NiAsBr structure, from the Alexandria database.

The space group is I4mm (No. 107) and the conventional cell measures 3.1854, 3.1854 and 11.5051 Å, with angles of 90.00, 90.00 and 90.00 degrees. The inequivalent atoms are Ni at (0.0000, 0.0000, 0.0000), As at (0.0000, 0.0000, 0.5992) and Br at (0.0000, 0.0000, 0.3524).

The value obtained for the uncorrected formation energy is 176.8 meV/atom. Its density of states at the Fermi level is 0.476 states/eV per atom. The calculation puts the total magnetization at 0.00 μB per cell. Its calculated volume is 117 Å³/cell.

[12]
The following is a PBE calculation of a geometry-optimized BeAl3Ag structure, from the Alexandria database.

The space group is Pm-3m (No. 221) and the conventional cell measures 4.4291, 4.4291 and 4.4291 Å, with angles of 90.00, 90.00 and 90.00 degrees. The inequivalent atoms are Be at (0.0000, 0.0000, 0.0000), Al at (0.0000, 0.0000, 0.5000) and Ag at (0.5000, 0.5000, 0.5000).

The formation energy is 0.40 eV/atom. Its density of states at the Fermi level is 0.484 states/eV per atom. The calculation puts the total magnetization at 0.00 μB per cell. Its calculated volume is 87 Å³/cell.

[13]
The following is a PBE calculation of a geometry-optimized Nd6TmTl5 structure, from the Alexandria database.

The space group is Immm (No. 71) and the conventional cell measures 5.1061, 9.1124 and 15.5199 Å, with angles of 90.00, 90.00 and 90.00 degrees. The inequivalent atoms are Nd at (0.0000, 0.2341, 0.0000), Nd at (0.0000, 0.2603, 0.3288), Tm at (0.0000, 0.0000, 0.5000), Tl at (0.0000, 0.0000, 0.1729), Tl at (0.0000, 0.5000, 0.1494) and Tl at (0.0000, 0.5000, 0.5000).

The formation energy is -0.30 eV/atom. Its density of states at the Fermi level is 1.068 states/eV per atom. The calculation puts the total magnetization at 0.00 μB per cell. Its calculated volume is 722 Å³/cell.

[14]
The following is a PBE calculation of a geometry-optimized NdThGaAu structure, from the Alexandria database.

The space group is F-43m (No. 216) and the conventional cell measures 7.4457, 7.4457 and 7.4457 Å, with angles of 90.00, 90.00 and 90.00 degrees. The inequivalent atoms are Nd at (0.0000, 0.0000, 0.0000), Th at (0.0000, 0.0000, 0.5000), Ga at (0.2500, 0.2500, 0.7500) and Au at (0.2500, 0.2500, 0.2500).

The formation energy is -0.51 eV/atom. Its density of states at the Fermi level is 1.000 states/eV per atom. The calculation puts the total magnetization at 3.20 μB per cell. Its calculated volume is 413 Å³/cell.

[15]
The following is a PBE calculation of a geometry-optimized Mn2CrCl structure, from the Alexandria database.

The space group is Fm-3m (No. 225) and the conventional cell measures 5.7414, 5.7414 and 5.7414 Å, with angles of 90.00, 90.00 and 90.00 degrees. The inequivalent atoms are Mn at (0.2500, 0.2500, 0.2500), Cr at (0.0000, 0.0000, 0.0000) and Cl at (0.0000, 0.0000, 0.5000).

The value obtained for the uncorrected formation energy is 998.1 meV/atom. Its density of states at the Fermi level is 2.626 states/eV per atom. The calculation puts the total magnetization at 0.00 μB per cell. Its calculated volume is 189 Å³/cell.

[16]
The following is a PBE calculation of a geometry-optimized Na3Y2PtO6 structure, from the Alexandria database.

The space group is C2/m (No. 12) and the conventional cell measures 5.7507, 10.0212 and 5.8928 Å, with angles of 90.00, 107.91 and 90.00 degrees. The inequivalent atoms are Na at (0.0000, 0.0000, 0.0000), Na at (0.0000, 0.3418, 0.0000), Y at (0.0000, 0.1700, 0.5000), Pt at (0.0000, 0.5000, 0.5000), O at (0.2433, 0.3324, 0.7262) and O at (0.2452, 0.5000, 0.2968).

The value obtained for the uncorrected formation energy is -2068.4 meV/atom. Its density of states at the Fermi level is 0.006 states/eV per atom. The calculation puts the total magnetization at 2.00 μB per cell. Its calculated volume is 323 Å³/cell.

[17]
The following is a PBE calculation of a geometry-optimized Li7Zn4Rh structure, from the Alexandria database.

The space group is C2/m (No. 12) and the conventional cell measures 12.3848, 4.6258 and 7.2847 Å, with angles of 90.00, 117.81 and 90.00 degrees. The inequivalent atoms are Li at (0.0000, 0.0000, 0.0000), Li at (0.0793, 0.5000, 0.4192), Li at (0.1845, 0.5000, 0.8669), Li at (0.2264, 0.5000, 0.2502), Zn at (0.0534, 0.0000, 0.7084), Zn at (0.1725, 0.0000, 0.3569) and Rh at (0.0000, 0.5000, 0.0000).

The formation energy is -0.03 eV/atom. Its density of states at the Fermi level is 0.320 states/eV per atom. The calculation puts the total magnetization at 0.00 μB per cell. Its calculated volume is 369 Å³/cell.

[18]
The following is a PBE calculation of a geometry-optimized Pa2Al12Pt7 structure, from the Alexandria database.

The space group is P-6 (No. 174) and the conventional cell measures 10.1418, 10.1418 and 4.0336 Å, with angles of 90.00, 90.00 and 120.00 degrees. The inequivalent atoms are Pa at (0.0000, 0.0000, 0.0000), Pa at (0.3333, 0.6667, 0.5000), Al at (0.0396, 0.2844, 0.5000), Al at (0.1115, 0.7260, 0.0000), Al at (0.3812, 0.1794, 0.0000), Al at (0.5320, 0.4195, 0.5000), Pt at (0.0674, 0.4564, 0.0000), Pt at (0.2465, 0.2176, 0.5000) and Pt at (0.6667, 0.3333, 0.0000).

The formation energy is -0.90 eV/atom. Its density of states at the Fermi level is 0.457 states/eV per atom. The calculation puts the total magnetization at 0.00 μB per cell. Its calculated volume is 359 Å³/cell.

[19]
The following is a PBE calculation of a geometry-optimized Rb3Pu2Cl7 structure, from the Alexandria database.

The space group is Cmmm (No. 65) and the conventional cell measures 5.5959, 27.7718 and 5.4884 Å, with angles of 90.00, 90.00 and 90.00 degrees. The inequivalent atoms are Rb at (0.0000, 0.0000, 0.0000), Rb at (0.0000, 0.1817, 0.0000), Pu at (0.0000, 0.3976, 0.5000), Cl at (0.0000, 0.0975, 0.5000), Cl at (0.0000, 0.2984, 0.5000), Cl at (0.0000, 0.4031, 0.0000) and Cl at (0.0000, 0.5000, 0.5000).

The value obtained for the uncorrected formation energy is -1786.9 meV/atom. Its density of states at the Fermi level is 2.459 states/eV per atom. The calculation puts the total magnetization at 23.85 μB per cell. Its calculated volume is 853 Å³/cell.

[20]
The following is a PBE calculation of a geometry-optimized Pm12Nd7Tm structure, from the Alexandria database.

The space group is Im-3m (No. 229) and the conventional cell measures 11.5839, 11.5839 and 11.5839 Å, with angles of 90.00, 90.00 and 90.00 degrees. The inequivalent atoms are Pm at (0.0000, 0.2463, 0.2463), Nd at (0.0000, 0.0000, 0.5000), Nd at (0.2500, 0.2500, 0.2500) and Tm at (0.0000, 0.0000, 0.0000).

The formation energy is 0.60 eV/atom. Its density of states at the Fermi level is 1.370 states/eV per atom. The calculation puts the total magnetization at 0.00 μB per cell. Its calculated volume is 1554 Å³/cell.

[21]
The following is a PBE calculation of a geometry-optimized W2Au structure, from the Alexandria database.

The space group is P-3m1 (No. 164) and the conventional cell measures 4.6370, 4.6370 and 2.6855 Å, with angles of 90.00, 90.00 and 120.00 degrees. The inequivalent atoms are W at (0.3333, 0.6667, 0.3572) and Au at (0.0000, 0.0000, 0.0000).

The formation energy is 0.45 eV/atom. Its density of states at the Fermi level is 0.777 states/eV per atom. The calculation puts the total magnetization at 0.00 μB per cell. Its calculated volume is 50 Å³/cell.

[22]
The following is a PBE calculation of a geometry-optimized Pr2DyEr3 structure, from the Alexandria database.

The space group is C2/m (No. 12) and the conventional cell measures 17.8427, 3.5070 and 14.2551 Å, with angles of 90.00, 117.24 and 90.00 degrees. The inequivalent atoms are Pr at (0.1548, 0.0000, 0.4681), Pr at (0.1802, 0.5000, 0.8797), Dy at (0.0627, 0.0000, 0.6424), Er at (0.0389, 0.5000, 0.2074), Er at (0.0984, 0.0000, 0.0266) and Er at (0.2373, 0.0000, 0.2924).

The formation energy is 0.12 eV/atom. Its density of states at the Fermi level is 1.625 states/eV per atom. The calculation puts the total magnetization at 0.00 μB per cell. Its calculated volume is 793 Å³/cell.

[23]
The following is a PBE calculation of a geometry-optimized SrYTlPb structure, from the Alexandria database.

The space group is F-43m (No. 216) and the conventional cell measures 7.9223, 7.9223 and 7.9223 Å, with angles of 90.00, 90.00 and 90.00 degrees. The inequivalent atoms are Sr at (0.0000, 0.0000, 0.0000), Y at (0.0000, 0.0000, 0.5000), Tl at (0.2500, 0.2500, 0.2500) and Pb at (0.2500, 0.2500, 0.7500).

The formation energy is -0.39 eV/atom. Its density of states at the Fermi level is 0.534 states/eV per atom. The calculation puts the total magnetization at 0.00 μB per cell. Its calculated volume is 497 Å³/cell.